Below is an optimized crystal structure of CuPSe3, with properties calculated at the GGA-PBE level.

Results
Raw total energy: -16.1 eV/cell
Relative energy among the computed polymorphs: 867 meV/atom

Lattice parameters (Å, degrees): 4.722 4.722 4.722 90.00 90.00 90.00
Space group Pm-3m (No. 221)
Inequivalent atoms, fractional coordinates:
Cu: 0.000 0.000 0.000 [1 per cell]
P: 0.500 0.500 0.500 [1 per cell]
Se: 0.000 0.000 0.500 [3 per cell]